# Er8Te4As3S

Crystalline Er8Te4As3S at its relaxed geometry (PBE, the Alexandria database).

Cell lengths 8.2526, 8.4725, 8.2521 Å; angles 119.15, 120.00, 90.00 degrees
Fractional coordinates of all 16 atoms:
Er1 0.2350 0.7118 0.9767
Er2 0.2352 0.7119 0.4704
Er3 0.2613 0.2839 0.5226
Er4 0.7417 0.7118 0.9767
Er5 0.2583 0.2882 0.0233
Er6 0.7387 0.7161 0.4774
Er7 0.7648 0.2881 0.5296
Er8 0.7650 0.2882 0.0233
Te1 0.5000 0.0000 0.0000
Te2 0.5000 0.0000 0.5000
Te3 0.0000 0.0000 0.0000
Te4 0.0000 0.0000 0.5000
As1 0.5000 0.5000 0.0000
As2 0.5000 0.5000 0.5000
As3 0.0000 0.5000 0.5000
S1 0.0000 0.5000 0.0000

SG	R-3m
E	-90.96	eV per cell
raw formation energy	-23.82	eV per formula unit